The following is a DFT calculation (PBE) of an optimized crystal structure of BaNd3.

Unit cell a=7.2753 b=7.2753 c=7.2753 alpha=149.50 beta=64.14 gamma=125.07
Positions (direct):
Ba (0.0000, 0.0000, 0.0000)
Nd (0.4184, 0.6568, 0.7617)
Nd (0.4925, 0.9925, 0.5000)
Nd (0.8951, 0.6568, 0.2383)

Summary:
The calculation puts the density of states at the Fermi level at 6.105 states/eV/cell. The formation energy is 4.0 kcal/mol of atoms. As for the energy above the lowest structure with this stoichiometry: 0.02 eV/f.u. Its spin magnetization is 0.0 μB per formula unit. The value obtained for the calculated volume is 39.6 Å³/atom. As for the space group: Imm2, No. 44. The theoretical density is 5.98 Mg/m³.


The following is a DFT calculation (PBE) of an optimized crystal structure of Ba4Nd.

Unit cell a=6.7185 b=6.7185 c=6.7185 alpha=90.00 beta=90.00 gamma=90.00
Positions (direct):
Ba (0.0000, 0.0000, 0.0000)
Ba (0.0000, 0.5000, 0.5000)
Ba (0.5000, 0.0000, 0.5000)
Ba (0.5000, 0.5000, 0.0000)
Nd (0.5000, 0.5000, 0.5000)

Summary:
The calculation puts the density of states at the Fermi level at 10.240 states/eV/cell. The formation energy is 9.1 kcal/mol of atoms. Its spin magnetization is 0.0 μB per formula unit. The value obtained for the calculated volume is 60.7 Å³/atom. As for the space group: Pm-3m, No. 221. The theoretical density is 3.80 Mg/m³.


The following is a DFT calculation (PBE) of an optimized crystal structure of BaNd3.

Unit cell a=3.8013 b=6.1028 c=6.8277 alpha=90.00 beta=90.00 gamma=90.00
Positions (direct):
Ba (0.0000, 0.0000, 0.0000)
Nd (0.0000, 0.5000, 0.6609)
Nd (0.5000, 0.0000, 0.4973)
Nd (0.5000, 0.5000, 0.1996)

Summary:
The calculation puts the density of states at the Fermi level at 6.439 states/eV/cell. The formation energy is 3.9 kcal/mol of atoms. As for the energy above the lowest structure with this stoichiometry: 0.00 eV/f.u. Its spin magnetization is 0.0 μB per formula unit. The value obtained for the calculated volume is 39.6 Å³/atom. As for the space group: Pmm2, No. 25. The theoretical density is 5.98 Mg/m³.


The following is a DFT calculation (PBE) of an optimized crystal structure of BaNd3Ni.

Unit cell a=5.6575 b=5.6575 c=5.6575 alpha=90.00 beta=90.00 gamma=90.00
Positions (direct):
Ba (0.0000, 0.0000, 0.0000)
Nd (0.0000, 0.5000, 0.5000)
Nd (0.5000, 0.0000, 0.5000)
Nd (0.5000, 0.5000, 0.0000)
Ni (0.5000, 0.5000, 0.5000)

Summary:
The calculation puts the density of states at the Fermi level at 11.909 states/eV/cell. The formation energy is 0.8 kcal/mol of atoms. Its spin magnetization is 0.5 μB per formula unit. The value obtained for the calculated volume is 36.2 Å³/atom. As for the space group: Pm-3m, No. 221. The theoretical density is 5.77 Mg/m³.


The following is a DFT calculation (PBE) of an optimized crystal structure of BaNd2Ni.

Unit cell a=11.0851 b=11.0851 c=11.0851 alpha=21.09 beta=21.09 gamma=21.09
Positions (direct):
Ba (0.0000, 0.0000, 0.0000)
Nd (0.1206, 0.1206, 0.1206)
Nd (0.8794, 0.8794, 0.8794)
Ni (0.5000, 0.5000, 0.5000)

Summary:
The calculation puts the density of states at the Fermi level at 5.198 states/eV/cell. The formation energy is 1.0 kcal/mol of atoms. Its spin magnetization is 0.0 μB per formula unit. The value obtained for the calculated volume is 38.6 Å³/atom. As for the space group: R-3m, No. 166. The theoretical density is 5.21 Mg/m³.